No. 1
# Cd2TeW | Alexandria via LeMat-Bulk | PBE | optimized geometry
# Formation energy without anion corrections ... 3.07 eV/f.u.
# Total magnetic moment ... 0.002 μB per cell
data_Cd2TeW
_chemical_formula_sum 'Cd2 Te1 W1'
_space_group_name_H-M_alt 'P 1'
_space_group_IT_number 1
_cell_length_a 3.911
_cell_length_b 3.911
_cell_length_c 5.558
_cell_angle_alpha 90.00
_cell_angle_beta 90.00
_cell_angle_gamma 90.00
loop_
_space_group_symop_operation_xyz
'x,y,z'
loop_
_atom_site_label
_atom_site_type_symbol
_atom_site_fract_x
_atom_site_fract_y
_atom_site_fract_z
_atom_site_occupancy
Cd1 Cd 0.000 0.000 0.237 1
Cd2 Cd 0.000 0.000 0.763 1
Te1 Te 0.500 0.500 0.500 1
W1 W 0.500 0.500 0.000 1

=====

No. 2
# Ba2SiNiBr | Alexandria via LeMat-Bulk | PBE | optimized geometry
# Formation energy without anion corrections ... -3.94 eV/f.u.
# Total magnetic moment ... 0.000 μB per cell
data_Ba2SiNiBr
_chemical_formula_sum 'Ba2 Si1 Ni1 Br1'
_space_group_name_H-M_alt 'P 1'
_space_group_IT_number 1
_cell_length_a 6.109
_cell_length_b 6.109
_cell_length_c 4.339
_cell_angle_alpha 90.00
_cell_angle_beta 90.00
_cell_angle_gamma 90.00
loop_
_space_group_symop_operation_xyz
'x,y,z'
loop_
_atom_site_label
_atom_site_type_symbol
_atom_site_fract_x
_atom_site_fract_y
_atom_site_fract_z
_atom_site_occupancy
Ba1 Ba 0.000 0.500 0.000 1
Ba2 Ba 0.500 0.000 0.000 1
Si1 Si 0.000 0.000 0.500 1
Ni1 Ni 0.000 0.000 0.000 1
Br1 Br 0.500 0.500 0.500 1

=====

No. 3
# Si2PAuC | Alexandria via LeMat-Bulk | PBE | optimized geometry
# Formation energy without anion corrections ... 1.63 eV/f.u.
# Energy relative to the lowest polymorph listed for this composition ... 124 meV per atom
# Total magnetic moment ... 0.000 μB per cell
data_Si2PAuC
_chemical_formula_sum 'Si2 P1 Au1 C1'
_space_group_name_H-M_alt 'P 1'
_space_group_IT_number 1
_cell_length_a 3.301
_cell_length_b 4.461
_cell_length_c 5.895
_cell_angle_alpha 85.31
_cell_angle_beta 77.60
_cell_angle_gamma 75.93
loop_
_space_group_symop_operation_xyz
'x,y,z'
loop_
_atom_site_label
_atom_site_type_symbol
_atom_site_fract_x
_atom_site_fract_y
_atom_site_fract_z
_atom_site_occupancy
Si1 Si 0.000 0.000 0.000 1
Si2 Si 0.179 0.373 0.375 1
P1 P 0.546 0.707 0.410 1
Au1 Au 0.105 0.497 0.796 1
C1 C 0.416 0.025 0.191 1

=====

No. 4
# PmFeH | Alexandria via LeMat-Bulk | PBE | optimized geometry
# Energy ... -5.649 eV/atom
# Total magnetic moment ... 3.654 μB per cell
data_PmFeH
_chemical_formula_sum 'Pm4 Fe4 H4'
_space_group_name_H-M_alt 'P 1'
_space_group_IT_number 1
_cell_length_a 7.048
_cell_length_b 3.620
_cell_length_c 7.323
_cell_angle_alpha 90.00
_cell_angle_beta 98.66
_cell_angle_gamma 90.00
loop_
_space_group_symop_operation_xyz
'x,y,z'
loop_
_atom_site_label
_atom_site_type_symbol
_atom_site_fract_x
_atom_site_fract_y
_atom_site_fract_z
_atom_site_occupancy
Pm1 Pm 0.056 0.000 0.289 1
Pm2 Pm 0.444 0.500 0.711 1
Pm3 Pm 0.556 0.500 0.289 1
Pm4 Pm 0.944 0.000 0.711 1
Fe1 Fe 0.162 0.500 0.005 1
Fe2 Fe 0.338 0.000 0.995 1
Fe3 Fe 0.662 0.000 0.005 1
Fe4 Fe 0.838 0.500 0.995 1
H1 H 0.140 0.500 0.539 1
H2 H 0.360 0.000 0.461 1
H3 H 0.640 0.000 0.539 1
H4 H 0.860 0.500 0.461 1

=====

No. 5
# YHfTaMo2 | Alexandria via LeMat-Bulk | PBE | optimized geometry
# Energy ... -8.900 eV/atom
# Total magnetic moment ... 0.000 μB per cell
data_YHfTaMo2
_chemical_formula_sum 'Y1 Hf1 Ta1 Mo2'
_space_group_name_H-M_alt 'P 1'
_space_group_IT_number 1
_cell_length_a 4.848
_cell_length_b 4.848
_cell_length_c 5.091
_cell_angle_alpha 90.00
_cell_angle_beta 90.00
_cell_angle_gamma 90.00
loop_
_space_group_symop_operation_xyz
'x,y,z'
loop_
_atom_site_label
_atom_site_type_symbol
_atom_site_fract_x
_atom_site_fract_y
_atom_site_fract_z
_atom_site_occupancy
Y1 Y 0.000 0.000 0.000 1
Hf1 Hf 0.500 0.500 0.000 1
Ta1 Ta 0.500 0.500 0.500 1
Mo1 Mo 0.000 0.500 0.500 1
Mo2 Mo 0.500 0.000 0.500 1

=====

No. 6
# CoSeCl | Alexandria via LeMat-Bulk | PBE | optimized geometry
# Formation energy without anion corrections ... 0.17 eV/f.u.
# Total magnetic moment ... 0.000 μB per cell
data_CoSeCl
_chemical_formula_sum 'Co2 Se2 Cl2'
_space_group_name_H-M_alt 'P 1'
_space_group_IT_number 1
_cell_length_a 2.991
_cell_length_b 2.991
_cell_length_c 12.401
_cell_angle_alpha 90.00
_cell_angle_beta 90.00
_cell_angle_gamma 90.00
loop_
_space_group_symop_operation_xyz
'x,y,z'
loop_
_atom_site_label
_atom_site_type_symbol
_atom_site_fract_x
_atom_site_fract_y
_atom_site_fract_z
_atom_site_occupancy
Co1 Co 0.000 0.000 0.000 1
Co2 Co 0.500 0.500 0.500 1
Se1 Se 0.000 0.000 0.399 1
Se2 Se 0.500 0.500 0.899 1
Cl1 Cl 0.000 0.000 0.634 1
Cl2 Cl 0.500 0.500 0.134 1

=====

Please write out number 4 again, unchanged.
# PmFeH | Alexandria via LeMat-Bulk | PBE | optimized geometry
# Energy ... -5.649 eV/atom
# Total magnetic moment ... 3.654 μB per cell
data_PmFeH
_chemical_formula_sum 'Pm4 Fe4 H4'
_space_group_name_H-M_alt 'P 1'
_space_group_IT_number 1
_cell_length_a 7.048
_cell_length_b 3.620
_cell_length_c 7.323
_cell_angle_alpha 90.00
_cell_angle_beta 98.66
_cell_angle_gamma 90.00
loop_
_space_group_symop_operation_xyz
'x,y,z'
loop_
_atom_site_label
_atom_site_type_symbol
_atom_site_fract_x
_atom_site_fract_y
_atom_site_fract_z
_atom_site_occupancy
Pm1 Pm 0.056 0.000 0.289 1
Pm2 Pm 0.444 0.500 0.711 1
Pm3 Pm 0.556 0.500 0.289 1
Pm4 Pm 0.944 0.000 0.711 1
Fe1 Fe 0.162 0.500 0.005 1
Fe2 Fe 0.338 0.000 0.995 1
Fe3 Fe 0.662 0.000 0.005 1
Fe4 Fe 0.838 0.500 0.995 1
H1 H 0.140 0.500 0.539 1
H2 H 0.360 0.000 0.461 1
H3 H 0.640 0.000 0.539 1
H4 H 0.860 0.500 0.461 1

=====

Question: total magnetic moment of number 1 (Cd2TeW)?
Answer: 0.002 μB per cell

=====

Question: Which of these has the highest total magnetic moment?
Answer: PmFeH